Entry 1:
The following is a PBE-GGA calculation of crystalline Pm6Nd5Y2 at its relaxed geometry, from Alexandria via LeMat-Bulk.

Results
For the density of states at the Fermi level, the calculation gives 1.225 states/eV/atom. Its calculated volume is 34.93 Å³ per atom. As for the crystal system: orthorhombic. The formation energy is 1.1 eV per formula unit. The total moment comes out at 0.00 μB/cell.

Lattice parameters (Å, degrees): 3.659 11.860 20.931 90.00 90.00 90.00
Positions (direct):
Y  0.000  0.668  0.711
Y  0.000  0.168  0.789
Y  0.000  0.832  0.211
Y  0.000  0.332  0.289
Pm  0.000  0.061  0.081
Pm  0.000  0.418  0.868
Pm  0.000  0.561  0.419
Pm  0.000  0.918  0.632
Pm  0.000  0.082  0.368
Pm  0.000  0.439  0.581
Pm  0.500  0.174  0.637
Pm  0.500  0.826  0.363
Pm  0.500  0.326  0.137
Pm  0.000  0.582  0.132
Pm  0.500  0.674  0.863
Pm  0.000  0.939  0.919
Nd  0.500  0.302  0.447
Nd  0.500  0.802  0.053
Nd  0.500  0.000  0.500
Nd  0.500  0.698  0.553
Nd  0.500  0.089  0.226
Nd  0.500  0.911  0.774
Nd  0.500  0.500  0.000
Nd  0.500  0.411  0.726
Nd  0.500  0.198  0.947
Nd  0.500  0.589  0.274

---

Entry 2:
The following is a PBE-GGA calculation of crystalline ErAg2I6 at its relaxed geometry, from Alexandria via LeMat-Bulk.

Results
For the density of states at the Fermi level, the calculation gives 0.578 states/eV/atom. Its calculated volume is 44.87 Å³ per atom. Its uncorrected formation energy is -0.619 eV per atom. As for the crystal system: monoclinic. The total moment comes out at 0.00 μB/cell.

Lattice parameters (Å, degrees): 8.177 10.276 10.276 85.41 75.29 75.29
Positions (direct):
I  0.437  0.418  0.371
I  0.774  0.952  0.359
I  0.148  0.810  0.986
I  0.852  0.190  0.014
I  0.648  0.986  0.810
I  0.726  0.641  0.048
I  0.563  0.582  0.629
I  0.063  0.629  0.582
I  0.937  0.371  0.418
I  0.226  0.048  0.641
I  0.352  0.014  0.190
I  0.274  0.359  0.952
Er  0.750  0.913  0.087
Er  0.250  0.087  0.913
Ag  0.223  0.601  0.790
Ag  0.777  0.399  0.210
Ag  0.723  0.790  0.601
Ag  0.277  0.210  0.399

---

Entry 3:
The following is a PBE-GGA calculation of crystalline ReAg2Cl at its relaxed geometry, from Alexandria via LeMat-Bulk.

Results
For the density of states at the Fermi level, the calculation gives 0.633 states/eV/atom. Its calculated volume is 18.43 Å³ per atom. Its uncorrected formation energy is 1.176 eV per atom. As for the crystal system: tetragonal. The value obtained for the excess energy over the best structure of this formula in the dataset is 0.7863 eV per atom. The total moment comes out at 3.03 μB/cell.

Lattice parameters (Å, degrees): 5.646 5.646 5.646 139.99 139.99 57.86
Each line ends with the local moment (μB).
Positions (direct):
Ag  0.000  0.000  0.000  0.03
Ag  0.500  0.500  0.000  0.03
Re  0.750  0.250  0.500  2.54
Cl  0.250  0.750  0.500  0.03